Entry 1:
VASP calculation (GGA-PBE) on crystalline Nd2TlTe6Pb3 at its relaxed geometry.

Lattice parameters (Å, degrees): 10.3429 10.3429 9.4274 103.40 103.40 25.51
Closest atoms and distances in Å follow each position.
Sites, in units of the cell vectors:
Nd 0.1684 0.1684 0.3465  6 Te 3.16-3.25
Nd 0.8316 0.8316 0.6535  6 Te 3.16-3.25
Tl 0.5000 0.5000 0.0000  6 Te 3.35-3.45
Te 0.0073 0.0073 0.2631  1 Nd 3.16, 3 Pb 3.22-3.25, 2 Tl 3.35
Te 0.3239 0.3239 0.8944  2 Nd 3.25, 3 Pb 3.27-3.28, 1 Tl 3.45
Te 0.3314 0.3314 0.4099  3 Nd 3.20-3.24, 3 Pb 3.30-3.39
Te 0.6686 0.6686 0.5901  3 Nd 3.20-3.24, 3 Pb 3.30-3.39
Te 0.6761 0.6761 0.1056  2 Nd 3.25, 3 Pb 3.27-3.28, 1 Tl 3.45
Te 0.9927 0.9927 0.7369  1 Nd 3.16, 3 Pb 3.22-3.25, 2 Tl 3.35
Pb 0.1579 0.1579 0.8491  6 Te 3.25-3.39
Pb 0.5000 0.5000 0.5000  6 Te 3.22-3.30
Pb 0.8421 0.8421 0.1509  6 Te 3.25-3.39

- energy relative to the elements, uncorrected (meV/atom) = -739

***

Entry 2:
VASP calculation (GGA-PBE) on crystalline NdTmTePb at its relaxed geometry.

Lattice parameters (Å, degrees): 4.4677 4.4677 21.8474 90.00 90.00 120.00
Closest atoms and distances in Å follow each position.
Sites, in units of the cell vectors:
Nd 0.0000 0.0000 0.0000  3 Pb 3.17, 3 Te 3.26
Nd 0.3333 0.6667 0.6667  3 Pb 3.17, 3 Te 3.26
Nd 0.6667 0.3333 0.3333  3 Pb 3.17, 3 Te 3.26
Tm 0.0000 0.0000 0.5063  3 Pb 3.07, 3 Te 3.14
Tm 0.3333 0.6667 0.1730  3 Pb 3.07, 3 Te 3.14
Tm 0.6667 0.3333 0.8396  3 Pb 3.07, 3 Te 3.14
Te 0.0000 0.0000 0.7577  3 Tm 3.14, 3 Nd 3.26
Te 0.3333 0.6667 0.4243  3 Tm 3.14, 3 Nd 3.26
Te 0.6667 0.3333 0.0910  3 Tm 3.14, 3 Nd 3.26
Pb 0.0000 0.0000 0.2492  3 Tm 3.07, 3 Nd 3.17
Pb 0.3333 0.6667 0.9159  3 Tm 3.07, 3 Nd 3.17
Pb 0.6667 0.3333 0.5826  3 Tm 3.07, 3 Nd 3.17

- energy relative to the elements, uncorrected (meV/atom) = -932

***

Entry 3:
VASP calculation (GGA-PBE) on crystalline Nd3Th2Pb3 at its relaxed geometry.

Lattice parameters (Å, degrees): 9.5322 9.5322 6.6212 90.00 90.00 120.00
Closest atoms and distances in Å follow each position.
Sites, in units of the cell vectors:
Nd 0.0000 0.2451 0.2500  5 Pb 3.24-3.58
Nd 0.0000 0.7549 0.7500  5 Pb 3.24-3.58
Nd 0.2451 0.0000 0.2500  5 Pb 3.24-3.58
Nd 0.2451 0.2451 0.7500  5 Pb 3.24-3.58
Nd 0.7549 0.0000 0.7500  5 Pb 3.24-3.58
Nd 0.7549 0.7549 0.2500  5 Pb 3.24-3.58
Th 0.3333 0.6667 0.0000  2 Th 3.31, 6 Pb 3.39
Th 0.3333 0.6667 0.5000  2 Th 3.31, 6 Pb 3.39
Th 0.6667 0.3333 0.0000  2 Th 3.31, 6 Pb 3.39
Th 0.6667 0.3333 0.5000  2 Th 3.31, 6 Pb 3.39
Pb 0.0000 0.3876 0.7500  5 Nd 3.24-3.58, 4 Th 3.39
Pb 0.0000 0.6124 0.2500  5 Nd 3.24-3.58, 4 Th 3.39
Pb 0.3876 0.0000 0.7500  5 Nd 3.24-3.58, 4 Th 3.39
Pb 0.3876 0.3876 0.2500  5 Nd 3.24-3.58, 4 Th 3.39
Pb 0.6124 0.0000 0.2500  5 Nd 3.24-3.58, 4 Th 3.39
Pb 0.6124 0.6124 0.7500  5 Nd 3.24-3.58, 4 Th 3.39

- E_form (eV per atom) = -0.433

***

Entry 4:
VASP calculation (GGA-PBE) on crystalline NdTh3Pb5 at its relaxed geometry.

Lattice parameters (Å, degrees): 9.8217 9.8217 6.5782 90.00 90.00 120.00
Closest atoms and distances in Å follow each position.
Sites, in units of the cell vectors:
Nd 0.0000 0.0000 0.0000  6 Pb 3.25, 2 Nd 3.29
Nd 0.0000 0.0000 0.5000  6 Pb 3.25, 2 Nd 3.29
Th 0.0000 0.3830 0.2500  9 Pb 3.26-3.47
Th 0.0000 0.6170 0.7500  9 Pb 3.26-3.47
Th 0.3830 0.0000 0.2500  9 Pb 3.26-3.47
Th 0.3830 0.3830 0.7500  9 Pb 3.26-3.47
Th 0.6170 0.0000 0.7500  9 Pb 3.26-3.47
Th 0.6170 0.6170 0.2500  9 Pb 3.26-3.47
Pb 0.0000 0.2849 0.7500  2 Nd 3.25, 5 Th 3.26-3.43
Pb 0.0000 0.7151 0.2500  2 Nd 3.25, 5 Th 3.26-3.43
Pb 0.2849 0.0000 0.7500  2 Nd 3.25, 5 Th 3.26-3.43
Pb 0.2849 0.2849 0.2500  2 Nd 3.25, 5 Th 3.26-3.43
Pb 0.3333 0.6667 0.0000  2 Pb 3.29, 6 Th 3.47
Pb 0.3333 0.6667 0.5000  2 Pb 3.29, 6 Th 3.47
Pb 0.6667 0.3333 0.0000  2 Pb 3.29, 6 Th 3.47
Pb 0.6667 0.3333 0.5000  2 Pb 3.29, 6 Th 3.47
Pb 0.7151 0.0000 0.2500  2 Nd 3.25, 5 Th 3.26-3.43
Pb 0.7151 0.7151 0.7500  2 Nd 3.25, 5 Th 3.26-3.43

- E_form (eV per atom) = -0.337

***

Entry 5:
VASP calculation (GGA-PBE) on crystalline Nd2ThPb9 at its relaxed geometry.

Lattice parameters (Å, degrees): 4.9174 4.9174 14.8076 90.00 90.00 90.00
Closest atoms and distances in Å follow each position.
Sites, in units of the cell vectors:
Nd 0.0000 0.0000 0.1706  12 Pb 3.45-3.53
Nd 0.0000 0.0000 0.8294  12 Pb 3.45-3.53
Th 0.0000 0.0000 0.5000  12 Pb 3.47-3.48
Pb 0.0000 0.5000 0.0000  8 Pb 3.48, 4 Nd 3.53
Pb 0.0000 0.5000 0.3345  2 Nd 3.45, 8 Pb 3.47-3.50, 2 Th 3.47
Pb 0.0000 0.5000 0.6655  2 Nd 3.45, 8 Pb 3.47-3.50, 2 Th 3.47
Pb 0.5000 0.0000 0.0000  8 Pb 3.48, 4 Nd 3.53
Pb 0.5000 0.0000 0.3345  2 Nd 3.45, 8 Pb 3.47-3.50, 2 Th 3.47
Pb 0.5000 0.0000 0.6655  2 Nd 3.45, 8 Pb 3.47-3.50, 2 Th 3.47
Pb 0.5000 0.5000 0.1665  4 Nd 3.48, 8 Pb 3.48-3.50
Pb 0.5000 0.5000 0.5000  8 Pb 3.47, 4 Th 3.48
Pb 0.5000 0.5000 0.8335  4 Nd 3.48, 8 Pb 3.48-3.50

- E_form (eV per atom) = -0.322

***

Entry 6:
VASP calculation (GGA-PBE) on crystalline Nd3ThPb5 at its relaxed geometry.

Lattice parameters (Å, degrees): 9.8182 9.8182 6.6258 90.00 90.00 120.00
Closest atoms and distances in Å follow each position.
Sites, in units of the cell vectors:
Nd 0.0000 0.3764 0.2500  9 Pb 3.23-3.50
Nd 0.0000 0.6236 0.7500  9 Pb 3.23-3.50
Nd 0.3764 0.0000 0.2500  9 Pb 3.23-3.50
Nd 0.3764 0.3764 0.7500  9 Pb 3.23-3.50
Nd 0.6236 0.0000 0.7500  9 Pb 3.23-3.50
Nd 0.6236 0.6236 0.2500  9 Pb 3.23-3.50
Th 0.0000 0.0000 0.0000  2 Th 3.31, 6 Pb 3.34
Th 0.0000 0.0000 0.5000  2 Th 3.31, 6 Pb 3.34
Pb 0.0000 0.2950 0.7500  5 Nd 3.23-3.41, 2 Th 3.34
Pb 0.0000 0.7050 0.2500  5 Nd 3.23-3.41, 2 Th 3.34
Pb 0.2950 0.0000 0.7500  5 Nd 3.23-3.41, 2 Th 3.34
Pb 0.2950 0.2950 0.2500  5 Nd 3.23-3.41, 2 Th 3.34
Pb 0.3333 0.6667 0.0000  2 Pb 3.31, 6 Nd 3.50
Pb 0.3333 0.6667 0.5000  2 Pb 3.31, 6 Nd 3.50
Pb 0.6667 0.3333 0.0000  2 Pb 3.31, 6 Nd 3.50
Pb 0.6667 0.3333 0.5000  2 Pb 3.31, 6 Nd 3.50
Pb 0.7050 0.0000 0.2500  5 Nd 3.23-3.41, 2 Th 3.34
Pb 0.7050 0.7050 0.7500  5 Nd 3.23-3.41, 2 Th 3.34

- E_form (eV per atom) = -0.435

***

Entry 7:
VASP calculation (GGA-PBE) on crystalline Nd5ThPb5 at its relaxed geometry.

Lattice parameters (Å, degrees): 7.9935 7.9935 8.8672 105.92 105.92 47.55
Closest atoms and distances in Å follow each position.
Sites, in units of the cell vectors:
Nd 0.0000 0.0000 0.0000  4 Pb 3.17-3.18
Nd 0.3315 0.3315 0.6643  5 Pb 3.22-3.24
Nd 0.3336 0.3336 0.1655  5 Pb 3.21-3.22
Nd 0.6664 0.6664 0.8345  5 Pb 3.21-3.22
Nd 0.6685 0.6685 0.3357  5 Pb 3.22-3.24
Th 0.0000 0.0000 0.5000  6 Pb 3.22
Pb 0.1648 0.1648 0.3278  5 Nd 3.17-3.24, 1 Th 3.22
Pb 0.1654 0.1654 0.8355  5 Nd 3.18-3.23, 1 Th 3.22
Pb 0.5000 0.5000 0.5000  4 Nd 3.22, 2 Th 3.22
Pb 0.8346 0.8346 0.1645  5 Nd 3.18-3.23, 1 Th 3.22
Pb 0.8352 0.8352 0.6722  5 Nd 3.17-3.24, 1 Th 3.22

- E_form (eV per atom) = -0.311

***

Entry 8:
VASP calculation (GGA-PBE) on crystalline NdThTlPb at its relaxed geometry.

Lattice parameters (Å, degrees): 7.8492 7.8492 7.8492 90.00 90.00 90.00
Closest atoms and distances in Å follow each position.
Sites, in units of the cell vectors:
Nd 0.0000 0.0000 0.0000  4 Pb 3.40, 4 Tl 3.40
Nd 0.0000 0.5000 0.5000  4 Pb 3.40, 4 Tl 3.40
Nd 0.5000 0.0000 0.5000  4 Pb 3.40, 4 Tl 3.40
Nd 0.5000 0.5000 0.0000  4 Pb 3.40, 4 Tl 3.40
Th 0.0000 0.0000 0.5000  4 Tl 3.40, 4 Pb 3.40
Th 0.0000 0.5000 0.0000  4 Tl 3.40, 4 Pb 3.40
Th 0.5000 0.0000 0.0000  4 Tl 3.40, 4 Pb 3.40
Th 0.5000 0.5000 0.5000  4 Tl 3.40, 4 Pb 3.40
Tl 0.2500 0.2500 0.7500  4 Th 3.40, 4 Nd 3.40
Tl 0.2500 0.7500 0.2500  4 Th 3.40, 4 Nd 3.40
Tl 0.7500 0.2500 0.2500  4 Th 3.40, 4 Nd 3.40
Tl 0.7500 0.7500 0.7500  4 Th 3.40, 4 Nd 3.40
Pb 0.2500 0.2500 0.2500  4 Th 3.40, 4 Nd 3.40
Pb 0.2500 0.7500 0.7500  4 Th 3.40, 4 Nd 3.40
Pb 0.7500 0.2500 0.7500  4 Th 3.40, 4 Nd 3.40
Pb 0.7500 0.7500 0.2500  4 Th 3.40, 4 Nd 3.40

- E_form (eV per atom) = -0.240

***

DFT total energy (computed, eV for the cell shown): -50.74, -59.46, -87.47, -97.20, -54.19, -88.37, -53.22, -76.89